(1)
Below is a relaxed BeAl2Ir crystal, with properties calculated at the PBE level.

ΔE_f: -0.5596 eV per atom
Density: 7593 kg/m³

```
16
Lattice="7.465 0.000 -0.006 0.000 4.055 0.000 -4.887 0.000 7.379" Properties=species:S:1:pos:R:3 pbc="T T T"
Be 3.733 2.027 -0.003
Be 0.000 0.000 0.000
Be -2.443 2.027 3.690
Be 1.289 0.000 3.687
Ir -0.140 2.027 3.510
Ir 5.162 0.000 0.174
Ir 2.718 2.027 3.863
Ir -2.583 0.000 7.200
Al 3.895 0.000 4.719
Al -1.317 0.000 2.654
Al 3.447 0.000 2.115
Al -0.869 0.000 5.258
Al -3.761 2.027 6.344
Al 1.574 2.027 1.569
Al 6.339 2.027 1.030
Al 1.004 2.027 5.805
```



(2)
Below is a relaxed Tb2PmPu crystal, with properties calculated at the PBE level.

ΔE to the lowest computed polymorph: 166.6 meV/atom
ΔE_f: 0.2697 eV per atom
Density: 9121 kg/m³

```
4
Lattice="-2.388 -2.414 0.725 -0.377 -2.750 -2.086 7.376 -7.925 6.225" Properties=species:S:1:pos:R:3 pbc="T T T"
Tb -0.580 -6.798 0.398
Tb 5.191 -6.291 4.466
Pu 0.000 0.000 0.000
Pm 2.305 -6.544 2.432
```



(3)
Below is a relaxed GePb3Au crystal, with properties calculated at the PBE level.

ΔE to the lowest computed polymorph: 0.0 meV/atom
ΔE_f: 0.4920 eV per atom
Density: 8719 kg/m³

```
5
Lattice="-4.879 -2.455 0.906 0.064 -2.028 -5.151 2.616 -4.529 1.816" Properties=species:S:1:pos:R:3 pbc="T T T"
Pb 0.032 -1.014 -2.576
Pb -2.440 -1.227 0.453
Pb 1.308 -2.265 0.908
Ge -1.100 -4.506 -1.215
Au 0.000 0.000 0.000
```